Entry P
{
  "formula": "LiNiBiPd",
  "functional": "PBE",
  "state": "relaxed",
  "lattice_angstrom": [[0.0000, 3.1630, 3.1630], [3.1630, 0.0000, 3.1630], [3.1630, 3.1630, 0.0000]],
  "species": ["Pd", "Bi", "Ni", "Li"],
  "frac_coords": [[0.5000, 0.5000, 0.5000], [0.0000, 0.0000, 0.0000], [0.7500, 0.7500, 0.7500], [0.2500, 0.2500, 0.2500]],
  "space_group": "F-43m, No. 216",
  "volume_a3_per_fu": 63.29,
  "crystal_system": "cubic",
  "m_tot_mub_per_cell": 0.01
}

---

Entry Q
{
  "formula": "LiNiBiPd",
  "functional": "PBE",
  "state": "relaxed",
  "lattice_angstrom": [[4.3829, -1.0845, 0.2268], [1.7383, -1.5904, 3.8582], [1.2430, -4.3361, 0.3011]],
  "species": ["Pd", "Li", "Ni", "Bi"],
  "frac_coords": [[0.2500, 0.2500, 0.2500], [0.5000, 0.5000, 0.5000], [0.7500, 0.7500, 0.7500], [0.0000, 0.0000, 0.0000]],
  "space_group": "F-43m, No. 216",
  "volume_a3_per_fu": 65.33,
  "crystal_system": "cubic",
  "m_tot_mub_per_cell": 0.00
}

---

Computed relative energies in units of meV per atom: entry P 0; entry Q 12

---

Entry P
{
  "formula": "LiScNiBi",
  "functional": "PBE",
  "state": "relaxed",
  "lattice_angstrom": [[-0.9994, -4.2598, 1.7164], [-0.3497, -0.6400, 4.6432], [-4.1969, -0.8228, 1.9494]],
  "species": ["Sc", "Bi", "Ni", "Li"],
  "frac_coords": [[0.2500, 0.2500, 0.2500], [0.0000, 0.0000, 0.0000], [0.5000, 0.5000, 0.5000], [0.7500, 0.7500, 0.7500]],
  "space_group": "F-43m, No. 216",
  "volume_a3_per_fu": 73.42,
  "crystal_system": "cubic",
  "m_tot_mub_per_cell": 0.00
}

---

Entry Q
{
  "formula": "LiScNiBi",
  "functional": "PBE",
  "state": "relaxed",
  "lattice_angstrom": [[-3.4972, -2.4603, 1.6898], [-2.5170, 1.6644, 3.4689], [-4.3315, 1.3503, -0.7438]],
  "species": ["Ni", "Bi", "Sc", "Li"],
  "frac_coords": [[0.0000, 0.0000, 0.0000], [0.2500, 0.2500, 0.2500], [0.7500, 0.7500, 0.7500], [0.5000, 0.5000, 0.5000]],
  "space_group": "F-43m, No. 216",
  "volume_a3_per_fu": 68.72,
  "crystal_system": "cubic",
  "m_tot_mub_per_cell": 0.00
}

---

Computed relative energies in units of meV per atom: entry P 43; entry Q 0

---

Entry P
{
  "formula": "LiTcNiBi",
  "functional": "PBE",
  "state": "relaxed",
  "lattice_angstrom": [[-0.8315, -3.9470, 1.9667], [-1.0093, -0.1612, 4.3696], [-4.1705, -1.0231, 1.3033]],
  "species": ["Li", "Ni", "Bi", "Tc"],
  "frac_coords": [[0.2500, 0.2500, 0.2500], [0.7500, 0.7500, 0.7500], [0.0000, 0.0000, 0.0000], [0.5000, 0.5000, 0.5000]],
  "space_group": "F-43m, No. 216",
  "volume_a3_per_fu": 63.90,
  "crystal_system": "cubic",
  "m_tot_mub_per_cell": 3.07
}

---

Entry Q
{
  "formula": "LiTcNiBi",
  "functional": "PBE",
  "state": "relaxed",
  "lattice_angstrom": [[-4.3828, -0.2620, -0.6555], [-2.6554, 3.2625, 1.4183], [-1.9708, 2.6900, -2.9303]],
  "species": ["Li", "Ni", "Tc", "Bi"],
  "frac_coords": [[0.5000, 0.5000, 0.5000], [0.7500, 0.7500, 0.7500], [0.2500, 0.2500, 0.2500], [0.0000, 0.0000, 0.0000]],
  "space_group": "F-43m, No. 216",
  "volume_a3_per_fu": 61.86,
  "crystal_system": "cubic",
  "m_tot_mub_per_cell": 0.00
}

---

Computed relative energies in units of meV per atom: entry P 93; entry Q 0

---

Entry P
{
  "formula": "LiZnNiBi",
  "functional": "PBE",
  "state": "relaxed",
  "lattice_angstrom": [[0.0000, 3.1853, 3.1853], [3.1853, 0.0000, 3.1853], [3.1853, 3.1853, 0.0000]],
  "species": ["Li", "Ni", "Bi", "Zn"],
  "frac_coords": [[0.7500, 0.7500, 0.7500], [0.2500, 0.2500, 0.2500], [0.5000, 0.5000, 0.5000], [0.0000, 0.0000, 0.0000]],
  "space_group": "F-43m, No. 216",
  "volume_a3_per_fu": 64.64,
  "crystal_system": "cubic",
  "m_tot_mub_per_cell": 0.00
}

---

Entry Q
{
  "formula": "LiZnNiBi",
  "functional": "PBE",
  "state": "relaxed",
  "lattice_angstrom": [[0.0000, 3.2212, 3.2212], [3.2212, 0.0000, 3.2212], [3.2212, 3.2212, 0.0000]],
  "species": ["Zn", "Li", "Bi", "Ni"],
  "frac_coords": [[0.5000, 0.5000, 0.5000], [0.0000, 0.0000, 0.0000], [0.2500, 0.2500, 0.2500], [0.7500, 0.7500, 0.7500]],
  "space_group": "F-43m, No. 216",
  "volume_a3_per_fu": 66.85,
  "crystal_system": "cubic",
  "m_tot_mub_per_cell": 0.00
}

---

Entry R
{
  "formula": "LiZnNiBi",
  "functional": "PBE",
  "state": "relaxed",
  "lattice_angstrom": [[0.0000, 3.2479, 3.2479], [3.2479, 0.0000, 3.2479], [3.2479, 3.2479, 0.0000]],
  "species": ["Bi", "Li", "Zn", "Ni"],
  "frac_coords": [[0.2500, 0.2500, 0.2500], [0.7500, 0.7500, 0.7500], [0.0000, 0.0000, 0.0000], [0.5000, 0.5000, 0.5000]],
  "space_group": "F-43m, No. 216",
  "volume_a3_per_fu": 68.52,
  "crystal_system": "cubic",
  "m_tot_mub_per_cell": 0.00
}

---

Computed relative energies in units of meV per atom: entry P 0; entry Q 191; entry R 157

---

Entry P
{
  "formula": "LiPmBi",
  "functional": "PBE",
  "state": "relaxed",
  "lattice_angstrom": [[0.0000, 3.3698, 3.3698], [3.3698, 0.0000, 3.3698], [3.3698, 3.3698, 0.0000]],
  "species": ["Bi", "Pm", "Li"],
  "frac_coords": [[0.2500, 0.2500, 0.2500], [0.7500, 0.7500, 0.7500], [0.0000, 0.0000, 0.0000]],
  "space_group": "F-43m, No. 216",
  "volume_a3_per_fu": 76.53,
  "crystal_system": "cubic",
  "m_tot_mub_per_cell": 0.00
}

---

Entry Q
{
  "formula": "LiPmBi",
  "functional": "PBE",
  "state": "relaxed",
  "lattice_angstrom": [[1.9860, -4.0790, -2.4550], [-2.9454, -2.7658, -3.2069], [0.8301, 0.2041, -5.0871]],
  "species": ["Pm", "Li", "Bi"],
  "frac_coords": [[0.2500, 0.2500, 0.2500], [0.0000, 0.0000, 0.0000], [0.5000, 0.5000, 0.5000]],
  "space_group": "F-43m, No. 216",
  "volume_a3_per_fu": 97.06,
  "crystal_system": "cubic",
  "m_tot_mub_per_cell": 0.00
}

---

Computed relative energies in units of meV per atom: entry P 0; entry Q 269

---

Entry P
{
  "formula": "LiPrBi",
  "functional": "PBE",
  "state": "relaxed",
  "lattice_angstrom": [[-2.9621, -3.7029, 0.7942], [-3.9565, 0.6145, 2.6619], [-4.3348, -0.0995, -2.0777]],
  "species": ["Pr", "Li", "Bi"],
  "frac_coords": [[0.7500, 0.7500, 0.7500], [0.0000, 0.0000, 0.0000], [0.2500, 0.2500, 0.2500]],
  "space_group": "F-43m, No. 216",
  "volume_a3_per_fu": 78.59,
  "crystal_system": "cubic",
  "m_tot_mub_per_cell": 0.01
}

---

Entry Q
{
  "formula": "LiPrBi",
  "functional": "PBE",
  "state": "relaxed",
  "lattice_angstrom": [[2.1014, -4.3201, -2.0622], [-2.6713, -2.7755, -3.5345], [1.5315, -0.0323, -4.9986]],
  "species": ["Bi", "Li", "Pr"],
  "frac_coords": [[0.2500, 0.2500, 0.2500], [0.7500, 0.7500, 0.7500], [0.0000, 0.0000, 0.0000]],
  "space_group": "F-43m, No. 216",
  "volume_a3_per_fu": 101.04,
  "crystal_system": "cubic",
  "m_tot_mub_per_cell": 0.00
}

---

Computed relative energies in units of meV per atom: entry P 0; entry Q 291